Record 1
The following is a GGA-PBE calculation of a relaxed Li5In6Sn crystal, from Alexandria via LeMat-Bulk.

```
data_Li5In6Sn
_chemical_formula_sum 'Li10 In12 Sn2'
_cell_length_a 14.115
_cell_length_b 8.722
_cell_length_c 4.403
_cell_angle_alpha 90.00
_cell_angle_beta 107.80
_cell_angle_gamma 90.00
_symmetry_space_group_name_H-M 'C 1 2/m 1'
_symmetry_Int_Tables_number 12
loop_
_symmetry_equiv_pos_as_xyz
'x,y,z'
'-x,-y,-z'
'-x,y,-z'
'x,-y,z'
'x+1/2,y+1/2,z'
'-x+1/2,-y+1/2,-z'
'-x+1/2,y+1/2,-z'
'x+1/2,-y+1/2,z'
loop_
_atom_site_label
_atom_site_fract_x
_atom_site_fract_y
_atom_site_fract_z
_atom_site_occupancy
Li1 0.000 0.000 0.000 1
Li2 0.154 0.500 0.654 1
Li3 0.175 0.000 0.676 1
In1 0.000 0.223 0.500 1
In2 0.170 0.232 0.171 1
Sn1 0.000 0.500 0.000 1
```

Values from the calculation:
Uncorrected energy: -2.72 eV/atom

***

Record 2
The following is a GGA-PBE calculation of a relaxed Rb2AgI2Br2 crystal, from Alexandria via LeMat-Bulk.

```
data_Rb2AgI2Br2
_chemical_formula_sum 'Rb4 Ag2 I4 Br4'
_cell_length_a 5.577
_cell_length_b 5.577
_cell_length_c 18.031
_cell_angle_alpha 90.00
_cell_angle_beta 90.00
_cell_angle_gamma 90.00
_symmetry_space_group_name_H-M 'I 4/m m m'
_symmetry_Int_Tables_number 139
_symmetry_space_group_name_Hall '-I 4 2'
loop_
_atom_site_label
_atom_site_fract_x
_atom_site_fract_y
_atom_site_fract_z
_atom_site_occupancy
Rb1 0.000 0.000 0.128 1
Ag1 0.000 0.000 0.500 1
I1 0.000 0.000 0.340 1
Br1 0.000 0.500 0.000 1
```

Values from the calculation:
Formation energy (no corrections): -0.998 eV/atom
Uncorrected energy: -2.60 eV/atom

***

Record 3
The following is a GGA-PBE calculation of a relaxed TlTcP crystal, from Alexandria via LeMat-Bulk.

```
data_TlTcP
_chemical_formula_sum 'Tl4 Tc4 P4'
_cell_length_a 6.118
_cell_length_b 6.118
_cell_length_c 6.118
_cell_angle_alpha 90.00
_cell_angle_beta 90.00
_cell_angle_gamma 90.00
_symmetry_space_group_name_H-M 'F -4 3 m'
_symmetry_Int_Tables_number 216
_symmetry_space_group_name_Hall 'F -4 2 3'
loop_
_atom_site_label
_atom_site_fract_x
_atom_site_fract_y
_atom_site_fract_z
_atom_site_occupancy
Tl1 0.000 0.000 0.000 1
Tc1 0.000 0.000 0.500 1
P1 0.250 0.250 0.250 1
```

Values from the calculation:
ΔE to the lowest computed polymorph: 749 meV per atom
Uncorrected energy: -5.25 eV/atom

***

no.,density of states at the Fermi level (states/eV per cell)
1,8.9
2,9.0
3,12.4